! PBE Si2MoCl, relaxed; values from VASP
&SYSTEM
  ibrav = 0, nat = 4, ntyp = 3
/
ATOMIC_SPECIES
Mo 95.94 Mo.upf
Cl 35.45 Cl.upf
Si 28.09 Si.upf
CELL_PARAMETERS angstrom
4.9458 0.0000 0.0000
0.0000 3.5386 0.0000
0.0000 0.0000 3.5386
ATOMIC_POSITIONS angstrom
Mo 2.4729 0.0000 1.7693
Cl 2.4729 1.7693 0.0000
Si 0.0000 1.7693 1.7693
Si 0.0000 0.0000 0.0000
! DFT total energy, eV/atom: -5.211
! M_tot, μB/atom: 0.0002